No. 1
Entry from Alexandria: a relaxed Ba2AgO3 crystal (PBE).

```
data_Ba2AgO3
_symmetry_space_group_name_H-M 'I m m m'
_symmetry_Int_Tables_number 71
_symmetry_space_group_name_Hall '-I 2 2'
_cell_length_a 3.813
_cell_length_b 4.367
_cell_length_c 13.675
_cell_angle_alpha 90.00
_cell_angle_beta 90.00
_cell_angle_gamma 90.00
loop_
_atom_site_label
_atom_site_type_symbol
_atom_site_fract_x
_atom_site_fract_y
_atom_site_fract_z
Ba1 Ba 0.000 0.000 0.147
Ag1 Ag 0.000 0.000 0.500
O1 O 0.000 0.000 0.342
O2 O 0.000 0.500 0.500
```

Results
Formation energy from raw total energies: -1.811 eV per atom
Total magnetic moment: 0.00 μB/f.u.

No. 2
Entry from Alexandria: a relaxed CaMgSn3 crystal (PBE).

```
data_CaMgSn3
_symmetry_space_group_name_H-M 'P m -3 m'
_symmetry_Int_Tables_number 221
_symmetry_space_group_name_Hall '-P 4 2 3'
_cell_length_a 5.409
_cell_length_b 5.409
_cell_length_c 5.409
_cell_angle_alpha 90.00
_cell_angle_beta 90.00
_cell_angle_gamma 90.00
loop_
_atom_site_label
_atom_site_type_symbol
_atom_site_fract_x
_atom_site_fract_y
_atom_site_fract_z
Ca1 Ca 0.000 0.000 0.000
Mg1 Mg 0.500 0.500 0.500
Sn1 Sn 0.000 0.500 0.500
```

Results
DFT formation energy: 0.090 eV per atom
Total magnetic moment: 0.00 μB/f.u.

No. 3
Entry from Alexandria: a relaxed KY4TmS8 crystal (PBE).

```
data_KY4TmS8
_symmetry_space_group_name_H-M 'R 3 m'
_symmetry_Int_Tables_number 160
_symmetry_space_group_name_Hall 'R 3 -2"'
_cell_length_a 8.2279
_cell_length_b 8.2279
_cell_length_c 19.9776
_cell_angle_alpha 90.00
_cell_angle_beta 90.00
_cell_angle_gamma 120.00
loop_
_atom_site_label
_atom_site_type_symbol
_atom_site_fract_x
_atom_site_fract_y
_atom_site_fract_z
K1 K 0.0000 0.0000 0.0000
Y1 Y 0.0000 0.0000 0.2478
Y2 Y 0.1729 0.3458 0.4550
Tm1 Tm 0.0000 0.0000 0.6276
S1 S 0.0000 0.0000 0.3808
S2 S 0.0000 0.0000 0.8574
S3 S 0.0463 0.5231 0.3772
S4 S 0.1777 0.3553 0.2047
```

Results
Formation energy from raw total energies: -1.938 eV per atom
Total magnetic moment: 0.00 μB/f.u.

No. 4
Entry from Alexandria: a relaxed Zn2Sn2Se crystal (PBE).

```
data_Zn2Sn2Se
_symmetry_space_group_name_H-M 'P 4/m b m'
_symmetry_Int_Tables_number 127
_symmetry_space_group_name_Hall '-P 4 2ab'
_cell_length_a 7.493
_cell_length_b 7.493
_cell_length_c 3.958
_cell_angle_alpha 90.00
_cell_angle_beta 90.00
_cell_angle_gamma 90.00
loop_
_atom_site_label
_atom_site_type_symbol
_atom_site_fract_x
_atom_site_fract_y
_atom_site_fract_z
Zn1 Zn 0.121 0.379 0.000
Sn1 Sn 0.186 0.686 0.500
Se1 Se 0.000 0.000 0.000
```

Results
Formation energy from raw total energies: 0.064 eV per atom
Total magnetic moment: 0.00 μB/f.u.

No. 5
Entry from Alexandria: a relaxed PuZnSiPt crystal (PBE).

```
data_PuZnSiPt
_symmetry_space_group_name_H-M 'R 3 m'
_symmetry_Int_Tables_number 160
_symmetry_space_group_name_Hall 'R 3 -2"'
_cell_length_a 4.2364
_cell_length_b 4.2364
_cell_length_c 15.2488
_cell_angle_alpha 90.00
_cell_angle_beta 90.00
_cell_angle_gamma 120.00
loop_
_atom_site_label
_atom_site_type_symbol
_atom_site_fract_x
_atom_site_fract_y
_atom_site_fract_z
Pu1 Pu 0.0000 0.0000 0.0000
Zn1 Zn 0.0000 0.0000 0.2100
Si1 Si 0.0000 0.0000 0.4507
Pt1 Pt 0.0000 0.0000 0.8044
```

Results
Formation energy from raw total energies: -0.492 eV per atom
Total magnetic moment: 5.49 μB/f.u.

No. 6
Entry from Alexandria: a relaxed CoHgMo2 crystal (PBE).

```
data_CoHgMo2
_symmetry_space_group_name_H-M 'I m m m'
_symmetry_Int_Tables_number 71
_symmetry_space_group_name_Hall '-I 2 2'
_cell_length_a 3.436
_cell_length_b 4.096
_cell_length_c 8.849
_cell_angle_alpha 90.00
_cell_angle_beta 90.00
_cell_angle_gamma 90.00
loop_
_atom_site_label
_atom_site_type_symbol
_atom_site_fract_x
_atom_site_fract_y
_atom_site_fract_z
Co1 Co 0.000 0.000 0.000
Hg1 Hg 0.000 0.000 0.500
Mo1 Mo 0.000 0.500 0.261
```

Results
DFT formation energy: 0.445 eV per atom
Total magnetic moment: 1.35 μB/f.u.

Mass density values, unit g/cm³, following the record order: 6.278, 4.412, 3.488, 6.683, 11.194, 12.037.